# PBE ZrScOsRh, optimized geometry
data_ZrScOsRh
_chemical_formula_sum 'Zr4 Sc4 Os4 Rh4'
_space_group_name_H-M_alt 'F -4 3 m'
_space_group_IT_number 216
_space_group_name_Hall 'F -4 2 3'
_cell_length_a 6.518
_cell_length_b 6.518
_cell_length_c 6.518
_cell_angle_alpha 90.00
_cell_angle_beta 90.00
_cell_angle_gamma 90.00
loop_
_atom_site_label
_atom_site_type_symbol
_atom_site_fract_x
_atom_site_fract_y
_atom_site_fract_z
Zr1 Zr 0.000 0.000 0.000
Sc1 Sc 0.000 0.000 0.500
Os1 Os 0.250 0.250 0.750
Rh1 Rh 0.250 0.250 0.250
# ΔE to the lowest computed polymorph in meV/atom: 7
# Energy of formation from the pure elements in eV/atom: -0.73
# M_tot in Bohr magnetons per cell: 0.00
# Calculated volume in Å³ per atom: 17.3
# Uncorrected energy in eV/atom: -9.097